1.
This record from Alexandria via LeMat-Bulk describes crystalline Dy2Tm5Th4 at its relaxed geometry. The functional is PBE.

Computed properties:
**Space group**: P-1 (2)
**Energy of formation**: 25 meV per atom
**Crystal system**: triclinic
**Calculated total energy**: -5.5425 eV/atom
**Volume**: 343.7 Å³ per cell

a = 3.5528 Å, b = 8.5904 Å, c = 11.7830 Å
α = 104.66°, β = 98.59°, γ = 90.07°
Element x y z (fractional)
Dy: 0.0903 0.2210 0.1809
Dy: 0.9097 0.7790 0.8191
Tm: 0.0000 0.5000 0.0000
Tm: 0.2722 0.6849 0.5440
Tm: 0.3634 0.4041 0.7266
Tm: 0.6366 0.5959 0.2734
Tm: 0.7278 0.3151 0.4560
Th: 0.1819 0.9530 0.3645
Th: 0.4541 0.1377 0.9082
Th: 0.5459 0.8623 0.0918
Th: 0.8181 0.0470 0.6355

2.
This record from Alexandria via LeMat-Bulk describes crystalline CsK2InAg at its relaxed geometry. The functional is PBE.

Computed properties:
**Space group**: P4/mmm (123)
**Energy of formation**: 31 meV per atom
**Crystal system**: tetragonal
**Calculated total energy**: -1.6964 eV/atom
**Volume**: 242.5 Å³ per cell

a = 6.6769 Å, b = 6.6769 Å, c = 5.4391 Å
α = 90.00°, β = 90.00°, γ = 90.00°
Element x y z (fractional)
Cs: 0.0000 0.0000 0.0000
K: 0.0000 0.5000 0.5000
K: 0.5000 0.0000 0.5000
In: 0.5000 0.5000 0.0000
Ag: 0.5000 0.5000 0.5000

3.
This record from Alexandria via LeMat-Bulk describes crystalline ErLuIrRh at its relaxed geometry. The functional is PBE.

Computed properties:
**Space group**: F-43m (216)
**Energy of formation**: -971 meV per atom
**Crystal system**: cubic
**Calculated total energy**: -7.2949 eV/atom
**Volume**: 307.1 Å³ per cell

a = 6.7469 Å, b = 6.7469 Å, c = 6.7469 Å
α = 90.00°, β = 90.00°, γ = 90.00°
Element x y z (fractional)
Er: 0.0000 0.0000 0.0000
Er: 0.0000 0.5000 0.5000
Er: 0.5000 0.0000 0.5000
Er: 0.5000 0.5000 0.0000
Lu: 0.0000 0.0000 0.5000
Lu: 0.0000 0.5000 0.0000
Lu: 0.5000 0.0000 0.0000
Lu: 0.5000 0.5000 0.5000
Ir: 0.2500 0.2500 0.7500
Ir: 0.2500 0.7500 0.2500
Ir: 0.7500 0.2500 0.2500
Ir: 0.7500 0.7500 0.7500
Rh: 0.2500 0.2500 0.2500
Rh: 0.2500 0.7500 0.7500
Rh: 0.7500 0.2500 0.7500
Rh: 0.7500 0.7500 0.2500

4.
This record from Alexandria via LeMat-Bulk describes crystalline NaCo2Hg2 at its relaxed geometry. The functional is PBE.

Computed properties:
**Space group**: P4/mbm (127)
**Energy of formation**: 345 meV per atom
**Crystal system**: tetragonal
**Calculated total energy**: -2.8815 eV/atom
**Volume**: 182.7 Å³ per cell

a = 8.0366 Å, b = 8.0366 Å, c = 2.8284 Å
α = 90.00°, β = 90.00°, γ = 90.00°
Element x y z (fractional)
Na: 0.0000 0.0000 0.0000
Na: 0.5000 0.5000 0.0000
Co: 0.0999 0.4001 0.5000
Co: 0.4001 0.9001 0.5000
Co: 0.5999 0.0999 0.5000
Co: 0.9001 0.5999 0.5000
Hg: 0.1894 0.6894 0.0000
Hg: 0.3106 0.1894 0.0000
Hg: 0.6894 0.8106 0.0000
Hg: 0.8106 0.3106 0.0000

5.
This record from Alexandria via LeMat-Bulk describes crystalline Ca3TlTe at its relaxed geometry. The functional is PBE.

Computed properties:
**Space group**: Pm-3m (221)
**Crystal system**: cubic
**Calculated total energy**: -2.7500 eV/atom
**Volume**: 201.2 Å³ per cell

a = 5.8601 Å, b = 5.8601 Å, c = 5.8601 Å
α = 90.00°, β = 90.00°, γ = 90.00°
Element x y z (fractional)
Ca: 0.0000 0.0000 0.5000
Ca: 0.0000 0.5000 0.0000
Ca: 0.5000 0.0000 0.0000
Tl: 0.5000 0.5000 0.5000
Te: 0.0000 0.0000 0.0000

6.
This record from Alexandria via LeMat-Bulk describes crystalline Er6SiS5 at its relaxed geometry. The functional is PBE.

Computed properties:
**Space group**: C2/m (12)
**Crystal system**: monoclinic
**Calculated total energy**: -6.2512 eV/atom
**Volume**: 253.8 Å³ per cell

a = 6.7682 Å, b = 6.7682 Å, c = 6.7814 Å
α = 99.57°, β = 99.57°, γ = 119.99°
Element x y z (fractional)
Er: 0.0825 0.4123 0.2478
Er: 0.2479 0.2479 0.7535
Er: 0.4123 0.0825 0.2478
Er: 0.5877 0.9175 0.7522
Er: 0.7521 0.7521 0.2465
Er: 0.9175 0.5877 0.7522
Si: 0.0000 0.0000 0.0000
S: 0.1675 0.8325 0.5000
S: 0.3332 0.6668 0.0000
S: 0.5000 0.5000 0.5000
S: 0.6668 0.3332 0.0000
S: 0.8325 0.1675 0.5000

7.
This record from Alexandria via LeMat-Bulk describes crystalline BaSr2Li2 at its relaxed geometry. The functional is PBE.

Computed properties:
**Space group**: C2/m (12)
**Energy of formation**: 57 meV per atom
**Crystal system**: monoclinic
**Calculated total energy**: -1.7661 eV/atom
**Volume**: 444.3 Å³ per cell

a = 15.2818 Å, b = 4.2801 Å, c = 6.9143 Å
α = 90.00°, β = 100.74°, γ = 90.00°
Element x y z (fractional)
Ba: 0.0000 0.0000 0.0000
Ba: 0.5000 0.5000 0.0000
Sr: 0.1379 0.5000 0.5627
Sr: 0.3621 0.0000 0.4373
Sr: 0.6379 0.0000 0.5627
Sr: 0.8621 0.5000 0.4373
Li: 0.2112 0.5000 0.0972
Li: 0.2888 0.0000 0.9028
Li: 0.7112 0.0000 0.0972
Li: 0.7888 0.5000 0.9028

8.
This record from Alexandria via LeMat-Bulk describes crystalline ScHgTeN2 at its relaxed geometry. The functional is PBE.

Computed properties:
**Space group**: P4/mmm (123)
**Crystal system**: tetragonal
**Calculated total energy**: -4.6838 eV/atom
**Volume**: 111.1 Å³ per cell

a = 4.2915 Å, b = 4.2915 Å, c = 6.0332 Å
α = 90.00°, β = 90.00°, γ = 90.00°
Element x y z (fractional)
Sc: 0.0000 0.0000 0.0000
Hg: 0.5000 0.5000 0.5000
Te: 0.0000 0.0000 0.5000
N: 0.0000 0.5000 0.0000
N: 0.5000 0.0000 0.0000

9.
This record from Alexandria via LeMat-Bulk describes crystalline Zn3TeRh at its relaxed geometry. The functional is PBE.

Computed properties:
**Space group**: Pm-3m (221)
**Crystal system**: cubic
**Calculated total energy**: -2.6439 eV/atom
**Volume**: 110.6 Å³ per cell

a = 4.8003 Å, b = 4.8003 Å, c = 4.8003 Å
α = 90.00°, β = 90.00°, γ = 90.00°
Element x y z (fractional)
Zn: 0.0000 0.0000 0.5000
Zn: 0.0000 0.5000 0.0000
Zn: 0.5000 0.0000 0.0000
Te: 0.5000 0.5000 0.5000
Rh: 0.0000 0.0000 0.0000

10.
This record from Alexandria via LeMat-Bulk describes crystalline TlBiC3 at its relaxed geometry. The functional is PBE.

Computed properties:
**Space group**: Pm-3m (221)
**Energy of formation**: 3188 meV per atom
**Crystal system**: cubic
**Calculated total energy**: -3.5953 eV/atom
**Volume**: 88.6 Å³ per cell

a = 4.4581 Å, b = 4.4581 Å, c = 4.4581 Å
α = 90.00°, β = 90.00°, γ = 90.00°
Element x y z (fractional)
Tl: 0.0000 0.0000 0.0000
Bi: 0.5000 0.5000 0.5000
C: 0.0000 0.0000 0.5000
C: 0.0000 0.5000 0.0000
C: 0.5000 0.0000 0.0000

11.
This record from Alexandria via LeMat-Bulk describes crystalline NaPuTl2Br6 at its relaxed geometry. The functional is PBE.

Computed properties:
**Space group**: P2_1/c (14)
**Crystal system**: monoclinic
**Calculated total energy**: -4.3157 eV/atom
**Volume**: 706.6 Å³ per cell

a = 7.6805 Å, b = 8.2536 Å, c = 13.4334 Å
α = 90.00°, β = 123.93°, γ = 90.00°
Element x y z (fractional)
Na: 0.0000 0.0000 0.0000
Na: 0.0000 0.5000 0.5000
Pu: 0.5000 0.0000 0.5000
Pu: 0.5000 0.5000 0.0000
Tl: 0.2171 0.0805 0.7465
Tl: 0.2171 0.4195 0.2465
Tl: 0.7829 0.5805 0.7535
Tl: 0.7829 0.9195 0.2535
Br: 0.1432 0.1910 0.4460
Br: 0.1432 0.3090 0.9460
Br: 0.2632 0.7039 0.4455
Br: 0.2632 0.7961 0.9455
Br: 0.3664 0.0341 0.2537
Br: 0.3664 0.4659 0.7537
Br: 0.6336 0.5341 0.2463
Br: 0.6336 0.9659 0.7463
Br: 0.7368 0.2039 0.0545
Br: 0.7368 0.2961 0.5545
Br: 0.8568 0.6911 0.0540
Br: 0.8568 0.8089 0.5540

Number 1: total magnetic moment 0.00 μB per cell. Number 2: total magnetic moment 0.00 μB per cell. Number 3: total magnetic moment 0.00 μB per cell. Number 4: total magnetic moment 5.86 μB per cell. Number 5: total magnetic moment 0.00 μB per cell. Number 6: total magnetic moment 0.00 μB per cell. Number 7: total magnetic moment 0.00 μB per cell. Number 8: total magnetic moment 3.37 μB per cell. Number 9: total magnetic moment 0.00 μB per cell. Number 10: total magnetic moment 1.84 μB per cell. Number 11: total magnetic moment 10.00 μB per cell.